# MnCrN3

A PBEsol-optimized structure of MnCrN3 (meta-GGA SCAN, Alexandria).

Properties
energy relative to the elements, uncorrected = 8.40 kcal/mol of atoms
total energy = -12.54 eV/atom
space group = Pm-3m

Unit cell a=3.6686 b=3.6686 c=3.6686 alpha=90.00 beta=90.00 gamma=90.00
Sites, in units of the cell vectors:
Mn 0.0000 0.0000 0.0000
Cr 0.5000 0.5000 0.5000
N 0.0000 0.5000 0.5000
N 0.5000 0.0000 0.5000
N 0.5000 0.5000 0.0000